Entry 1:
DFT (PBE) results for an optimized crystal structure of Nb2NiGe4.

The structure in CIF format:
```
data_Nb2NiGe4
_chemical_formula_sum 'Nb4 Ni2 Ge8'
_symmetry_space_group_name_H-M 'I 4/m m m'
_symmetry_Int_Tables_number 139
_symmetry_space_group_name_Hall '-I 4 2'
_cell_length_a 4.616
_cell_length_b 4.616
_cell_length_c 12.827
_cell_angle_alpha 90.00
_cell_angle_beta 90.00
_cell_angle_gamma 90.00
loop_
_atom_site_label
_atom_site_type_symbol
_atom_site_fract_x
_atom_site_fract_y
_atom_site_fract_z
Nb1 Nb 0.000 0.000 0.107
Ni1 Ni 0.000 0.000 0.500
Ge1 Ge 0.000 0.000 0.316
Ge2 Ge 0.000 0.500 0.000
```



Entry 2:
DFT (PBE) results for an optimized crystal structure of NbNi6Ge.

The structure in CIF format:
```
data_NbNi6Ge
_chemical_formula_sum 'Nb1 Ni6 Ge1'
_symmetry_space_group_name_H-M 'P -6 m 2'
_symmetry_Int_Tables_number 187
_symmetry_space_group_name_Hall 'P -6 2'
_cell_length_a 5.1349
_cell_length_b 5.1349
_cell_length_c 4.1967
_cell_angle_alpha 90.00
_cell_angle_beta 90.00
_cell_angle_gamma 120.00
loop_
_atom_site_label
_atom_site_type_symbol
_atom_site_fract_x
_atom_site_fract_y
_atom_site_fract_z
Nb1 Nb 0.0000 0.0000 0.0000
Ni1 Ni 0.0019 0.5010 0.0000
Ni2 Ni 0.1719 0.3438 0.5000
Ge1 Ge 0.6667 0.3333 0.5000
```



Number 1: calculated density 6.50 g cm⁻³, formation energy 0.3586 eV/atom, density of states at the Fermi level 14.07 states/eV per cell. Number 2: calculated density 8.97 g cm⁻³, formation energy -0.2113 eV/atom, density of states at the Fermi level 3.07 states/eV per cell.